Record 1
The following is a DFT calculation (GGA-PBE) of an optimized crystal structure of As2PWBr.

Properties
Energy, eV per atom: -4.457
Total magnetic moment, μB/cell: 2.8

a b c (Å): 4.7553 4.7553 4.7521
angles (deg): 90.00 90.00 90.00
Closest atoms and distances in Å follow each position.
Element x y z (fractional)
1 W 0.5000 0.5000 0.5000  8 As 3.36, 4 Br 3.36
2 Br 0.0000 0.0000 0.5000  2 P 2.38
3 As 0.0000 0.5000 0.0000  2 P 2.38
4 As 0.5000 0.0000 0.0000  2 P 2.38
5 P 0.0000 0.0000 0.0000  2 Br 2.38, 4 As 2.38


Record 2
The following is a DFT calculation (GGA-PBE) of an optimized crystal structure of Tl3In3Hg.

Properties
Energy, eV per atom: -2.212
Total magnetic moment, μB/cell: 0.0
ΔH_f (0 K), eV/atom: 0.019

a b c (Å): 5.6232 9.3879 9.6278
angles (deg): 127.29 90.00 90.00
Closest atoms and distances in Å follow each position.
Element x y z (fractional)
1 Tl 0.7500 0.9660 0.5724  3 In 3.17-3.42, 1 Hg 3.25, 4 Tl 3.37-3.48
2 In 0.2500 0.9094 0.7371  1 Hg 3.25, 4 In 3.28-3.44, 4 Tl 3.41-3.43
3 Hg 0.2500 0.6299 0.3131  6 Tl 3.25-3.46, 2 In 3.25-3.26
4 In 0.2500 0.7938 0.0142  4 Tl 3.17-3.49, 4 In 3.26-3.44
5 Tl 0.2500 0.4755 0.5925  3 In 3.27-3.41, 2 Hg 3.29, 4 Tl 3.42-3.65
6 In 0.7500 0.2062 0.9858  4 Tl 3.17-3.49, 4 In 3.26-3.44
7 Hg 0.7500 0.3701 0.6869  6 Tl 3.25-3.46, 2 In 3.25-3.26
8 Tl 0.7500 0.6558 0.1196  3 Hg 3.32-3.46, 5 In 3.43-3.61, 4 Tl 3.48-3.69
9 In 0.7500 0.0906 0.2629  1 Hg 3.25, 4 In 3.28-3.44, 4 Tl 3.41-3.43
10 Tl 0.2500 0.0340 0.4276  3 In 3.17-3.42, 1 Hg 3.25, 4 Tl 3.37-3.48
11 Tl 0.7500 0.5245 0.4075  3 In 3.27-3.41, 2 Hg 3.29, 4 Tl 3.42-3.65
12 In 0.7500 0.7890 0.8375  6 In 3.26-3.38, 1 Hg 3.26, 2 Tl 3.29-3.61
13 Tl 0.2500 0.3442 0.8804  3 Hg 3.32-3.46, 5 In 3.43-3.61, 4 Tl 3.48-3.69
14 In 0.2500 0.2110 0.1625  6 In 3.26-3.38, 1 Hg 3.26, 2 Tl 3.29-3.61


Record 3
The following is a DFT calculation (GGA-PBE) of an optimized crystal structure of KNd3Te4O12.

Properties
Energy, eV per atom: -6.050
Total magnetic moment, μB/cell: 0.9

a b c (Å): 7.9549 7.9549 7.9549
angles (deg): 108.18 108.18 108.18
Closest atoms and distances in Å follow each position.
Element x y z (fractional)
1 O 0.7821 0.0668 0.6367  1 Te 1.97
2 Nd 0.4449 0.0000 0.5551  6 O 2.36-2.42
3 O 0.9332 0.2179 0.3633  1 Te 1.97
4 O 0.1122 0.8878 0.5000  1 Te 2.11, 2 Nd 2.36
5 K 0.0000 0.0000 0.0000  6 O 3.17
6 O 0.3633 0.9332 0.2179  1 Te 1.97
7 O 0.5000 0.3406 0.6594  1 Te 2.05
8 Nd 0.5551 0.4449 0.0000  6 O 2.36-2.42
9 O 0.0668 0.6367 0.7821  1 Te 1.97
10 Nd 0.0000 0.5551 0.4449  6 O 2.36-2.42
11 Te 0.9483 0.0517 0.5000  3 O 1.97-2.11
12 O 0.3406 0.6594 0.5000  1 Te 2.05
13 O 0.6594 0.5000 0.3406  1 Te 2.05
14 Te 0.5000 0.5000 0.5000  3 O 2.05
15 Te 0.0517 0.5000 0.9483  3 O 1.97-2.11
16 O 0.8878 0.5000 0.1122  1 Te 2.11, 2 Nd 2.36
17 Te 0.5000 0.9483 0.0517  3 O 1.97-2.11
18 O 0.2179 0.3633 0.9332  1 Te 1.97
19 O 0.5000 0.1122 0.8878  1 Te 2.11, 2 Nd 2.36
20 O 0.6367 0.7821 0.0668  1 Te 1.97


Record 4
The following is a DFT calculation (GGA-PBE) of an optimized crystal structure of B2HPdCl.

Properties
Energy, eV per atom: -3.409
Total magnetic moment, μB/cell: 0.0

a b c (Å): 3.3114 5.5136 3.3114
angles (deg): 90.00 90.00 90.00
Closest atoms and distances in Å follow each position.
Element x y z (fractional)
1 H 0.0000 0.0000 0.0000  4 B 1.66
2 B 0.0000 0.0000 0.5000  2 H 1.66
3 Cl 0.0000 0.5000 0.0000  4 Pd 2.34
4 B 0.5000 0.0000 0.0000  2 H 1.66
5 Pd 0.5000 0.5000 0.5000  4 Cl 2.34


Record 5
The following is a DFT calculation (GGA-PBE) of an optimized crystal structure of CaPr2Ho3Bi6.

Properties
Energy, eV per atom: -4.894
Total magnetic moment, μB/cell: 0.0
ΔH_f (0 K), eV/atom: -0.845

a b c (Å): 4.5453 9.1159 10.1932
angles (deg): 103.27 102.88 90.00
Closest atoms and distances in Å follow each position.
Element x y z (fractional)
1 Bi 0.9965 0.2562 0.9930  3 Ho 3.15-3.17, 1 Pr 3.26, 2 Ca 3.27
2 Pr 0.1652 0.3297 0.3304  6 Bi 3.26-3.29
3 Ho 0.1668 0.8332 0.3336  6 Bi 3.15-3.18
4 Bi 0.6646 0.5885 0.3292  3 Ho 3.18, 3 Pr 3.28-3.29
5 Pr 0.8348 0.6703 0.6696  6 Bi 3.26-3.29
6 Ho 0.8332 0.1668 0.6664  6 Bi 3.15-3.18
7 Bi 0.3313 0.9249 0.6626  3 Ho 3.16-3.18, 1 Ca 3.26, 2 Pr 3.26
8 Bi 0.0035 0.7438 0.0070  3 Ho 3.15-3.17, 1 Pr 3.26, 2 Ca 3.27
9 Ca 0.5000 0.0000 0.0000  6 Bi 3.26-3.27
10 Ho 0.5000 0.5000 0.0000  6 Bi 3.17-3.18
11 Bi 0.6687 0.0751 0.3374  3 Ho 3.16-3.18, 1 Ca 3.26, 2 Pr 3.26
12 Bi 0.3354 0.4115 0.6708  3 Ho 3.18, 3 Pr 3.28-3.29


Record 6
The following is a DFT calculation (GGA-PBE) of an optimized crystal structure of CaLaNb2Zn.

Properties
Energy, eV per atom: -4.381
Total magnetic moment, μB/cell: 0.0
ΔH_f (0 K), eV/atom: 1.287

a b c (Å): 5.0306 5.6449 5.0306
angles (deg): 90.00 90.00 90.00
Closest atoms and distances in Å follow each position.
Element x y z (fractional)
1 Nb 0.5000 0.0000 0.0000  2 La 2.52
2 La 0.0000 0.0000 0.0000  4 Nb 2.52
3 Zn 0.0000 0.5000 0.0000  2 La 2.82
4 Nb 0.0000 0.0000 0.5000  2 La 2.52
5 Ca 0.5000 0.5000 0.5000  4 Zn 3.56, 8 Nb 3.78


> total magnetic moment of number 3 (KNd3Te4O12)?

0.9 μB/cell


> Among the records above, which one has the lowest energy?

KNd3Te4O12


> Look up the total magnetic moment of the fourth one.

0.0 μB/cell